# 1
Here is an optimized crystal structure of La16Pr6Dy7 from the Alexandria database. Energies are from GGA-PBE.

Results
E_form in meV per atom: 177
SG: No. 225
Crystal system: cubic
Total magnetization in μB per cell: 0.12

```
29
Lattice="0.0000 8.0745 8.0745 8.0745 0.0000 8.0745 8.0745 8.0745 0.0000" Properties=species:S:1:pos:R:3 pbc="T T T"
La 10.5801 5.5690 5.5690
La 1.9539 1.9539 1.9539
La 6.1206 6.1206 1.9539
La 6.1206 1.9539 6.1206
La 5.5690 5.5690 5.5690
La 10.5801 10.5801 5.5690
La 10.5801 5.5690 10.5801
La 14.1951 10.0285 10.0285
La 1.9539 6.1206 6.1206
La 5.5690 10.5801 5.5690
La 5.5690 5.5690 10.5801
La 10.5801 10.5801 10.5801
La 10.0285 14.1951 10.0285
La 10.0285 10.0285 14.1951
La 14.1951 14.1951 14.1951
La 5.5690 10.5801 10.5801
Pr 8.0745 8.0745 4.8150
Pr 8.0745 4.8150 8.0745
Pr 11.3341 8.0745 8.0745
Pr 4.8150 8.0745 8.0745
Pr 8.0745 11.3341 8.0745
Pr 8.0745 8.0745 11.3341
Dy 0.0000 0.0000 0.0000
Dy 4.0373 4.0373 0.0000
Dy 4.0373 0.0000 4.0373
Dy 8.0745 4.0373 4.0373
Dy 0.0000 4.0373 4.0373
Dy 4.0373 8.0745 4.0373
Dy 4.0373 4.0373 8.0745
```

# 2
Here is an optimized crystal structure of Pm3RhC from the Alexandria database. Energies are from GGA-PBE.

Results
E_form in meV per atom: -102
SG: No. 160
Crystal system: trigonal
Total magnetization in μB per cell: 0.00

```
15
Lattice="7.0147 0.0000 0.0000 -3.5074 6.0749 0.0000 0.0000 0.0000 8.8892" Properties=species:S:1:pos:R:3 pbc="T T T"
Pm 0.0000 2.0891 0.0000
Pm -1.6981 5.0304 0.0000
Pm 1.6981 0.9804 2.9631
Pm 3.5074 0.0641 5.9262
Pm 1.8092 3.0054 5.9262
Pm 1.6981 5.0304 0.0000
Pm 5.3166 0.9804 2.9631
Pm 3.5074 4.1141 2.9631
Pm 5.2055 3.0054 5.9262
Rh 0.0000 0.0000 5.2104
Rh 0.0000 4.0500 2.2473
Rh 3.5074 2.0250 8.1735
C 0.0000 0.0000 1.1726
C 0.0000 4.0500 7.0987
C 3.5074 2.0250 4.1356
```

# 3
Here is an optimized crystal structure of Cu5Ni2Pt from the Alexandria database. Energies are from GGA-PBE.

Results
E_form in meV per atom: -40
SG: No. 55
Crystal system: orthorhombic
Total magnetization in μB per cell: 0.00

```
16
Lattice="5.1814 0.0000 0.0000 0.0000 10.3366 0.0000 0.0000 0.0000 3.6223" Properties=species:S:1:pos:R:3 pbc="T T T"
Cu 0.0000 0.0000 0.0000
Cu 0.0062 2.5615 0.0000
Cu 1.2645 1.3267 1.8111
Cu 1.3263 6.4950 1.8111
Cu 2.5845 7.7298 0.0000
Cu 2.5907 5.1683 0.0000
Cu 2.5969 2.6068 0.0000
Cu 3.8552 3.8416 1.8111
Cu 3.9170 9.0099 1.8111
Cu 5.1752 7.7751 0.0000
Ni 1.2794 9.0249 1.8111
Ni 1.3113 3.8566 1.8111
Ni 3.8701 6.4800 1.8111
Ni 3.9021 1.3117 1.8111
Pt 0.0000 5.1683 0.0000
Pt 2.5907 0.0000 0.0000
```

# 4
Here is an optimized crystal structure of ReAs2Rh from the Alexandria database. Energies are from GGA-PBE.

Results
E_form in meV per atom: 528
Distance to the lowest polymorph of the same formula in eV per atom: 0.587
SG: No. 216
Crystal system: cubic
Total magnetization in μB per cell: 0.00

```
16
Lattice="6.3315 0.0000 0.0000 0.0000 6.3315 0.0000 0.0000 0.0000 6.3315" Properties=species:S:1:pos:R:3 pbc="T T T"
Re 0.0000 0.0000 0.0000
Re 0.0000 3.1657 3.1657
Re 3.1657 0.0000 3.1657
Re 3.1657 3.1657 0.0000
As 0.0000 0.0000 3.1657
As 0.0000 3.1657 0.0000
As 1.5829 1.5829 1.5829
As 1.5829 4.7486 4.7486
As 3.1657 0.0000 0.0000
As 3.1657 3.1657 3.1657
As 4.7486 1.5829 4.7486
As 4.7486 4.7486 1.5829
Rh 1.5829 1.5829 4.7486
Rh 1.5829 4.7486 1.5829
Rh 4.7486 1.5829 1.5829
Rh 4.7486 4.7486 4.7486
```

# 5
Here is an optimized crystal structure of BePtPb2 from the Alexandria database. Energies are from GGA-PBE.

Results
E_form in meV per atom: -12
SG: No. 44
Crystal system: orthorhombic
Total magnetization in μB per cell: 0.00

```
8
Lattice="3.5842 0.0000 0.0000 0.0000 4.0317 0.0000 0.0000 0.0000 12.9899" Properties=species:S:1:pos:R:3 pbc="T T T"
Be 0.0000 0.0000 0.0000
Be 1.7921 2.0158 6.4950
Pt 0.0000 2.0158 7.7340
Pt 1.7921 0.0000 1.2391
Pb 0.0000 0.0000 5.4984
Pb 0.0000 2.0158 2.5053
Pb 1.7921 0.0000 9.0003
Pb 1.7921 2.0158 11.9933
```

# 6
Here is an optimized crystal structure of KCo2Hg from the Alexandria database. Energies are from GGA-PBE.

Results
E_form in meV per atom: 645
SG: No. 10
Crystal system: monoclinic
Total magnetization in μB per cell: 3.58

```
4
Lattice="3.4404 0.0000 0.0000 0.0000 4.8232 0.0000 -0.7667 0.0000 6.2196" Properties=species:S:1:pos:R:3 pbc="T T T"
K 0.0000 0.0000 0.0000
Co 0.4693 2.4116 3.7762
Co 2.2045 2.4116 2.4434
Hg 1.3369 0.0000 3.1098
```

# 7
Here is an optimized crystal structure of Y2Er3In from the Alexandria database. Energies are from GGA-PBE.

Results
E_form in meV per atom: -163
Distance to the lowest polymorph of the same formula in eV per atom: 0.000
SG: No. 65
Crystal system: orthorhombic
Total magnetization in μB per cell: 0.00

```
12
Lattice="4.8321 0.0000 0.0000 0.0000 14.9925 0.0000 0.0000 0.0000 4.8724" Properties=species:S:1:pos:R:3 pbc="T T T"
Y 0.0000 2.4078 0.0000
Y 0.0000 12.5848 0.0000
Y 2.4161 5.0885 0.0000
Y 2.4161 9.9040 0.0000
Er 0.0000 0.0000 2.4362
Er 0.0000 4.9734 2.4362
Er 0.0000 10.0191 2.4362
Er 2.4161 2.5229 2.4362
Er 2.4161 7.4963 2.4362
Er 2.4161 12.4697 2.4362
In 0.0000 7.4963 0.0000
In 2.4161 0.0000 0.0000
```

# 8
Here is an optimized crystal structure of Nd15ErIn4 from the Alexandria database. Energies are from GGA-PBE.

Results
E_form in meV per atom: -211
SG: No. 123
Crystal system: tetragonal
Total magnetization in μB per cell: 0.00

```
20
Lattice="4.9900 0.0000 0.0000 0.0000 4.9900 0.0000 0.0000 0.0000 25.4291" Properties=species:S:1:pos:R:3 pbc="T T T"
Nd 0.0000 0.0000 0.0000
Nd 0.0000 0.0000 5.1761
Nd 0.0000 0.0000 10.2011
Nd 0.0000 0.0000 15.2280
Nd 0.0000 0.0000 20.2530
Nd 0.0000 2.4950 2.6558
Nd 0.0000 2.4950 7.6895
Nd 0.0000 2.4950 12.7146
Nd 0.0000 2.4950 17.7397
Nd 0.0000 2.4950 22.7733
Nd 2.4950 0.0000 2.6558
Nd 2.4950 0.0000 7.6895
Nd 2.4950 0.0000 12.7146
Nd 2.4950 0.0000 17.7397
Nd 2.4950 0.0000 22.7733
Er 2.4950 2.4950 0.0000
In 2.4950 2.4950 5.2084
In 2.4950 2.4950 10.2047
In 2.4950 2.4950 15.2244
In 2.4950 2.4950 20.2207
```